Material: AcZn2GaPd5
Method: DFT, PBE
State: relaxed

Values from the calculation:
Formation energy from the elements (eV per formula unit): -3.757
Calculated density (Mg/m³): 9.46

Cell: 4.8019 4.8019 7.3079 Å, 90.00 90.00 90.00°
Fractional positions:
Ac 0.0000 0.0000 0.0000
Zn 0.5000 0.5000 0.3372
Zn 0.5000 0.5000 0.6628
Ga 0.0000 0.0000 0.5000
Pd 0.0000 0.5000 0.3003
Pd 0.0000 0.5000 0.6997
Pd 0.5000 0.0000 0.3003
Pd 0.5000 0.0000 0.6997
Pd 0.5000 0.5000 0.0000